Y2CuAgH: optimized geometry, PBE.

```
Y2CuAgH
1.0
4.957 0.000 0.000
0.000 4.957 0.000
0.000 0.000 3.738
Y H Ag Cu
2 1 1 1
Direct
0.000 0.500 0.000
0.500 0.000 0.000
0.000 0.000 0.000
0.500 0.500 0.500
0.000 0.000 0.500
```

The value obtained for the density of states at the Fermi level is 2.168 states/eV/cell. As for the energy above the most stable polymorph in this dataset: 0.0000 eV per atom.